No. 1
VASP calculation (GGA-PBE) on RbPm3Sm2Te6 after structural relaxation.

## Properties
Size of the total moment   0.00 μB per atom
E_form (uncorrected)   -31.21 kcal/mol of atoms

abc: 19.817 4.477 9.251
angles: 90.00 103.69 90.00
Space group C2/m (No. 12)
Unique sites:
Rb1 0.000 0.000 0.000
Pm1 0.000 0.000 0.500
Pm2 0.160 0.500 0.818
Sm1 0.170 0.500 0.345
Te1 0.005 0.500 0.269
Te2 0.166 0.000 0.582
Te3 0.176 0.000 0.088


No. 2
VASP calculation (GGA-PBE) on Rb2PmSmTe4 after structural relaxation.

## Properties
Size of the total moment   0.00 μB per atom
E_form (uncorrected)   -32.39 kcal/mol of atoms

abc: 7.988 4.614 8.972
angles: 90.00 107.26 90.00
Space group P2/m (No. 10)
Unique sites:
Rb1 0.000 0.000 0.000
Rb2 0.500 0.500 0.000
Pm1 0.000 0.500 0.500
Sm1 0.500 0.000 0.500
Te1 0.236 0.000 0.704
Te2 0.267 0.500 0.297


No. 3
VASP calculation (GGA-PBE) on Rb4Pm3SmTe8 after structural relaxation.

## Properties
Size of the total moment   0.00 μB per atom
E_form (uncorrected)   -32.42 kcal/mol of atoms

abc: 9.2360 9.2360 25.7100
angles: 90.00 90.00 120.00
Space group R-3m (No. 166, hexagonal axes)
Unique sites:
Rb1 0.0000 0.0000 0.0000
Rb2 0.0000 0.5000 0.0000
Pm1 0.0000 0.5000 0.5000
Sm1 0.0000 0.0000 0.5000
Te1 0.0000 0.0000 0.2346
Te2 0.0010 0.5005 0.2345


No. 4
VASP calculation (GGA-PBE) on RbPm2Sm3Te6 after structural relaxation.

## Properties
Size of the total moment   0.00 μB per atom
E_form (uncorrected)   -31.22 kcal/mol of atoms

abc: 19.829 4.468 9.253
angles: 90.00 103.90 90.00
Space group C2/m (No. 12)
Unique sites:
Rb1 0.000 0.000 0.000
Pm1 0.171 0.500 0.346
Sm1 0.000 0.000 0.500
Sm2 0.161 0.500 0.820
Te1 0.003 0.500 0.270
Te2 0.165 0.000 0.584
Te3 0.176 0.000 0.086


No. 5
VASP calculation (GGA-PBE) on Rb3PmSm2Te6 after structural relaxation.

## Properties
Size of the total moment   0.00 μB per atom
E_form (uncorrected)   -32.38 kcal/mol of atoms

abc: 7.984 13.829 8.972
angles: 90.00 107.25 90.00
Space group C2/m (No. 12)
Unique sites:
Rb1 0.000 0.000 0.000
Rb2 0.000 0.333 0.000
Pm1 0.000 0.500 0.500
Sm1 0.000 0.167 0.500
Te1 0.233 0.000 0.703
Te2 0.235 0.333 0.703


No. 6
VASP calculation (GGA-PBE) on RbPm4Sn5 after structural relaxation.

## Properties
Size of the total moment   0.10 μB per atom
ΔE_f   -53 kJ/mol of atoms

abc: 4.147 4.147 18.213
angles: 90.00 90.00 90.00
Space group P4/mmm (No. 123)
Unique sites:
Rb1 0.000 0.000 0.000
Pm1 0.000 0.000 0.221
Pm2 0.000 0.000 0.408
Sn1 0.500 0.500 0.144
Sn2 0.500 0.500 0.314
Sn3 0.500 0.500 0.500


No. 7
VASP calculation (GGA-PBE) on RbPmSn4 after structural relaxation.

## Properties
Size of the total moment   0.00 μB per atom
Energy relative to the lowest polymorph listed for this composition   0.00 kcal/mol of atoms
ΔE_f   -24 kJ/mol of atoms

abc: 8.995 8.995 8.995
angles: 90.00 90.00 90.00
Space group F-43m (No. 216)
Unique sites:
Rb1 0.000 0.000 0.000
Pm1 0.250 0.250 0.750
Sn1 0.124 0.124 0.376


No. 8
VASP calculation (GGA-PBE) on RbPmSn4 after structural relaxation.

## Properties
Size of the total moment   0.00 μB per atom
Energy relative to the lowest polymorph listed for this composition   0.66 kcal/mol of atoms
ΔE_f   -21 kJ/mol of atoms

abc: 5.0063 5.0063 9.7600
angles: 90.00 90.00 120.00
Space group P6/mmm (No. 191)
Unique sites:
Rb1 0.0000 0.0000 0.0000
Pm1 0.0000 0.0000 0.5000
Sn1 0.3333 0.6667 0.2893


No. 9
VASP calculation (GGA-PBE) on Rb2PmSnTe4 after structural relaxation.

## Properties
Size of the total moment   0.00 μB per atom
E_form (uncorrected)   -21.15 kcal/mol of atoms

abc: 9.551 9.615 13.549
angles: 90.00 90.00 90.00
Space group Imma (No. 74)
Unique sites:
Rb1 0.000 0.000 0.000
Rb2 0.250 0.250 0.250
Pm1 0.250 0.250 0.750
Sn1 0.000 0.000 0.500
Te1 0.000 0.029 0.733
Te2 0.215 0.250 0.516


No. 10
VASP calculation (GGA-PBE) on Rb3Pm2SnTe6 after structural relaxation.

## Properties
Size of the total moment   0.00 μB per atom
E_form (uncorrected)   -25.35 kcal/mol of atoms

abc: 7.993 13.844 8.959
angles: 90.00 107.32 90.00
Space group C2/m (No. 12)
Unique sites:
Rb1 0.000 0.000 0.000
Rb2 0.000 0.332 0.000
Pm1 0.000 0.166 0.500
Sn1 0.000 0.500 0.500
Te1 0.231 0.336 0.700
Te2 0.238 0.000 0.701


No. 11
VASP calculation (GGA-PBE) on Rb3Pm3SnTe8 after structural relaxation.

## Properties
Size of the total moment   0.00 μB per atom
E_form (uncorrected)   -25.57 kcal/mol of atoms

abc: 15.683 9.036 10.245
angles: 90.00 120.72 90.00
Space group C2/m (No. 12)
Unique sites:
Rb1 0.000 0.000 0.000
Rb2 0.250 0.250 0.000
Pm1 0.000 0.500 0.500
Pm2 0.250 0.250 0.500
Sn1 0.000 0.000 0.500
Te1 0.015 0.241 0.303
Te2 0.227 0.000 0.697
Te3 0.235 0.500 0.704


No. 12
VASP calculation (GGA-PBE) on Rb4Pm3SnTe8 after structural relaxation.

## Properties
Size of the total moment   0.00 μB per atom
E_form (uncorrected)   -27.20 kcal/mol of atoms

abc: 9.2365 9.2365 25.6568
angles: 90.00 90.00 120.00
Space group R-3m (No. 166, hexagonal axes)
Unique sites:
Rb1 0.0000 0.0000 0.0000
Rb2 0.0000 0.5000 0.0000
Pm1 0.0000 0.5000 0.5000
Sn1 0.0000 0.0000 0.5000
Te1 0.0000 0.0000 0.2349
Te2 0.0047 0.5023 0.2332